This record from Alexandria describes a relaxed Dy4SiSe2 crystal. The functional is PBE.

- M_tot: 0.0 μB/f.u.
- Energy relative to the elements, uncorrected: -1218 meV per atom
- Volume: 25.47 Å³ per atom

Lattice parameters (Å, degrees): 6.837 6.837 13.564 90.00 90.00 145.79
Atoms (fractional coordinates):
Dy (0.000, 0.000, 0.000)
Dy (0.000, 0.000, 0.500)
Dy (0.282, 0.718, 0.628)
Dy (0.282, 0.718, 0.872)
Dy (0.450, 0.550, 0.250)
Dy (0.550, 0.450, 0.750)
Dy (0.718, 0.282, 0.128)
Dy (0.718, 0.282, 0.372)
Si (0.106, 0.894, 0.250)
Si (0.894, 0.106, 0.750)
Se (0.360, 0.640, 0.063)
Se (0.360, 0.640, 0.437)
Se (0.640, 0.360, 0.563)
Se (0.640, 0.360, 0.937)